1.
{
  "formula": "Ho2HgC4",
  "functional": "GGA-PBE",
  "state": "relaxed",
  "lattice": [[-4.2670, 5.3302, 2.5911], [4.2670, -5.3302, 2.5911], [4.2670, 5.3302, -2.5911]],
  "species": ["Ho", "Ho", "Ho", "Ho", "Hg", "Hg", "C", "C", "C", "C", "C", "C", "C", "C"],
  "fractional_positions": [[0.1330, 0.1550, 0.2881], [0.3670, 0.6550, 0.0220], [0.6330, 0.3450, 0.9780], [0.8670, 0.8450, 0.7119], [0.2500, 0.7500, 0.5000], [0.7500, 0.2500, 0.5000], [0.0879, 0.8539, 0.9417], [0.2097, 0.8621, 0.0718], [0.2903, 0.3621, 0.6524], [0.4121, 0.3539, 0.7660], [0.5879, 0.6461, 0.2340], [0.7097, 0.6379, 0.3476], [0.7903, 0.1379, 0.9282], [0.9121, 0.1461, 0.0583]],
  "space_group": "Ibam",
  "vol_a3_per_atom": 16.838,
  "energy_ev_per_cell": -92.46
}

***

2.
{
  "formula": "DyFeHg",
  "functional": "GGA-PBE",
  "state": "relaxed",
  "lattice": [[0.0000, 3.3357, 3.3357], [3.3357, 0.0000, 3.3357], [3.3357, 3.3357, 0.0000]],
  "species": ["Dy", "Fe", "Hg"],
  "fractional_positions": [[0.0000, 0.0000, 0.0000], [0.5000, 0.5000, 0.5000], [0.2500, 0.2500, 0.2500]],
  "space_group": "F-43m",
  "e_form_ev_per_atom": 0.36,
  "vol_a3_per_atom": 24.744
}

***

3.
{
  "formula": "Nb2Se4O13",
  "functional": "GGA-PBE",
  "state": "relaxed",
  "lattice": [[11.3180, 0.0000, 0.0000], [0.0000, 6.5835, 0.0000], [-2.4970, 0.0000, 7.1149]],
  "species": ["Nb", "Nb", "Nb", "Nb", "Se", "Se", "Se", "Se", "Se", "Se", "Se", "Se", "O", "O", "O", "O", "O", "O", "O", "O", "O", "O", "O", "O", "O", "O", "O", "O", "O", "O", "O", "O", "O", "O", "O", "O", "O", "O"],
  "fractional_positions": [[0.0000, 0.0013, 0.0000], [0.0000, 0.9987, 0.5000], [0.3483, 0.4964, 0.9419], [0.3483, 0.5036, 0.4419], [0.0046, 0.4598, 0.2623], [0.0046, 0.5402, 0.7623], [0.3453, 0.0396, 0.1851], [0.3453, 0.9604, 0.6851], [0.6795, 0.4286, 0.5480], [0.6795, 0.5714, 0.0480], [0.6846, 0.0256, 0.2214], [0.6846, 0.9744, 0.7214], [0.0122, 0.2974, 0.4479], [0.0122, 0.7026, 0.9479], [0.1634, 0.4972, 0.8182], [0.1634, 0.5028, 0.3182], [0.1826, 0.0105, 0.1172], [0.1826, 0.9895, 0.6172], [0.3439, 0.1976, 0.9982], [0.3439, 0.8024, 0.4982], [0.3470, 0.4168, 0.6725], [0.3470, 0.5832, 0.1725], [0.3590, 0.2093, 0.3657], [0.3590, 0.7907, 0.8657], [0.5340, 0.4624, 0.0115], [0.5340, 0.5376, 0.5115], [0.5726, 0.0889, 0.3104], [0.5726, 0.9111, 0.8104], [0.6703, 0.2550, 0.7345], [0.6703, 0.7450, 0.2345], [0.7706, 0.3973, 0.1900], [0.7706, 0.6027, 0.6900], [0.8110, 0.0389, 0.4317], [0.8110, 0.9611, 0.9317], [0.9864, 0.0819, 0.7596], [0.9861, 0.2931, 0.0768], [0.9861, 0.7069, 0.5768], [0.9864, 0.9181, 0.2596]],
  "space_group": "Pc",
  "vol_a3_per_atom": 13.951,
  "energy_ev_per_cell": -249.08
}

***

4.
{
  "formula": "TmS2BrF",
  "functional": "GGA-PBE",
  "state": "relaxed",
  "lattice": [[6.5356, 0.0000, 0.0000], [2.2458, 6.4955, 0.0000], [2.4724, 2.6053, 5.8627]],
  "species": ["Tm", "Tm", "S", "S", "S", "S", "Br", "Br", "F", "F"],
  "fractional_positions": [[0.1583, 0.0016, 0.1562], [0.8417, 0.9984, 0.8438], [0.0243, 0.7122, 0.6137], [0.2354, 0.0597, 0.4988], [0.7646, 0.9403, 0.5012], [0.9757, 0.2878, 0.3863], [0.4347, 0.3084, 0.8424], [0.5653, 0.6916, 0.1576], [0.0653, 0.7891, 0.0675], [0.9347, 0.2109, 0.9325]],
  "space_group": "P-1",
  "vol_a3_per_atom": 24.888,
  "energy_ev_per_cell": -51.20
}

***

5.
{
  "formula": "NaIn2AgS4",
  "functional": "GGA-PBE",
  "state": "relaxed",
  "lattice": [[-3.0522, 3.0522, 5.6332], [3.0522, -3.0522, 5.6332], [3.0522, 3.0522, -5.6332]],
  "species": ["Na", "In", "In", "Ag", "S", "S", "S", "S"],
  "fractional_positions": [[0.0000, 0.0000, 0.0000], [0.5000, 0.5000, 0.0000], [0.7500, 0.2500, 0.5000], [0.2500, 0.7500, 0.5000], [0.1296, 0.1428, 0.5317], [0.4021, 0.8704, 0.0132], [0.6111, 0.5979, 0.4683], [0.8572, 0.3889, 0.9868]],
  "space_group": "I-4",
  "vol_a3_per_atom": 26.240,
  "energy_ev_per_cell": -31.31
}

***

6.
{
  "formula": "FeIr6",
  "functional": "GGA-PBE",
  "state": "relaxed",
  "lattice": [[3.6745, -3.1312, 0.0000], [3.6745, 3.1312, 0.0000], [0.0000, 0.0000, 8.7471]],
  "species": ["Fe", "Fe", "Ir", "Ir", "Ir", "Ir", "Ir", "Ir", "Ir", "Ir", "Ir", "Ir", "Ir", "Ir"],
  "fractional_positions": [[0.0073, 0.9927, 0.7500], [0.9927, 0.0073, 0.2500], [0.1356, 0.4996, 0.2500], [0.1805, 0.1805, 0.0000], [0.1805, 0.1805, 0.5000], [0.3466, 0.6534, 0.6018], [0.3466, 0.6534, 0.8982], [0.4996, 0.1356, 0.7500], [0.5004, 0.8644, 0.2500], [0.6534, 0.3466, 0.1018], [0.6534, 0.3466, 0.3982], [0.8195, 0.8195, 0.0000], [0.8195, 0.8195, 0.5000], [0.8644, 0.5004, 0.7500]],
  "space_group": "Cmcm",
  "e_form_ev_per_atom": 0.24,
  "vol_a3_per_atom": 14.377
}

***

7.
{
  "formula": "TaTcNiSn",
  "functional": "GGA-PBE",
  "state": "relaxed",
  "lattice": [[0.0000, 3.1694, 3.1694], [3.1694, 0.0000, 3.1694], [3.1694, 3.1694, 0.0000]],
  "species": ["Ta", "Tc", "Ni", "Sn"],
  "fractional_positions": [[0.0000, 0.0000, 0.0000], [0.2500, 0.2500, 0.2500], [0.7500, 0.7500, 0.7500], [0.5000, 0.5000, 0.5000]],
  "space_group": "F-43m",
  "relative_energy_ev_per_atom": 0.000,
  "vol_a3_per_atom": 15.919
}

***

8.
{
  "formula": "Li4ZnAg2Ge",
  "functional": "GGA-PBE",
  "state": "relaxed",
  "lattice": [[4.4311, 0.0000, 0.0000], [0.0000, 4.4311, 0.0000], [0.0000, 0.0000, 6.2601]],
  "species": ["Li", "Li", "Li", "Li", "Zn", "Ag", "Ag", "Ge"],
  "fractional_positions": [[0.0000, 0.0000, 0.0000], [0.0000, 0.5000, 0.2499], [0.5000, 0.0000, 0.7501], [0.5000, 0.5000, 0.5000], [0.0000, 0.0000, 0.5000], [0.0000, 0.5000, 0.7502], [0.5000, 0.0000, 0.2498], [0.5000, 0.5000, 0.0000]],
  "space_group": "P-4m2",
  "vol_a3_per_atom": 15.364,
  "energy_ev_per_cell": -21.31
}

***

9.
{
  "formula": "ZnSnGe",
  "functional": "GGA-PBE",
  "state": "relaxed",
  "lattice": [[0.0000, 3.3319, 3.3319], [3.3319, 0.0000, 3.3319], [3.3319, 3.3319, 0.0000]],
  "species": ["Zn", "Sn", "Ge"],
  "fractional_positions": [[0.0000, 0.0000, 0.0000], [0.7500, 0.7500, 0.7500], [0.5000, 0.5000, 0.5000]],
  "space_group": "F-43m",
  "vol_a3_per_atom": 24.660,
  "energy_ev_per_cell": -9.16
}

***

10.
{
  "formula": "YFeCuSn",
  "functional": "GGA-PBE",
  "state": "relaxed",
  "lattice": [[0.0000, 3.3760, 3.3760], [3.3760, 0.0000, 3.3760], [3.3760, 3.3760, 0.0000]],
  "species": ["Y", "Fe", "Cu", "Sn"],
  "fractional_positions": [[0.0000, 0.0000, 0.0000], [0.7500, 0.7500, 0.7500], [0.5000, 0.5000, 0.5000], [0.2500, 0.2500, 0.2500]],
  "space_group": "F-43m",
  "relative_energy_ev_per_atom": 0.259,
  "vol_a3_per_atom": 19.239
}

***

11.
{
  "formula": "GdAlZn",
  "functional": "GGA-PBE",
  "state": "relaxed",
  "lattice": [[4.9826, 0.0000, 0.0000], [-2.4913, 4.3151, 0.0000], [0.0000, 0.0000, 7.1561]],
  "species": ["Gd", "Gd", "Al", "Al", "Zn", "Zn"],
  "fractional_positions": [[0.3333, 0.6667, 0.2500], [0.6667, 0.3333, 0.7500], [0.3333, 0.6667, 0.7500], [0.6667, 0.3333, 0.2500], [0.0000, 0.0000, 0.0000], [0.0000, 0.0000, 0.5000]],
  "space_group": "P6_3/mmc",
  "vol_a3_per_atom": 25.643,
  "energy_ev_per_cell": -19.31
}

***

12.
{
  "formula": "Mg2ScCu",
  "functional": "GGA-PBE",
  "state": "relaxed",
  "lattice": [[0.0000, 3.3326, 3.3326], [3.3326, 0.0000, 3.3326], [3.3326, 3.3326, 0.0000]],
  "species": ["Mg", "Mg", "Sc", "Cu"],
  "fractional_positions": [[0.0000, 0.0000, 0.0000], [0.2500, 0.2500, 0.2500], [0.7500, 0.7500, 0.7500], [0.5000, 0.5000, 0.5000]],
  "space_group": "F-43m",
  "vol_a3_per_atom": 18.506,
  "energy_ev_per_cell": -13.43
}

***

13.
{
  "formula": "KPrFeS3",
  "functional": "GGA-PBE",
  "state": "relaxed",
  "lattice": [[2.0440, -7.0272, 0.0000], [2.0440, 7.0272, 0.0000], [0.0000, 0.0000, 10.9420]],
  "species": ["K", "K", "Pr", "Pr", "Fe", "Fe", "S", "S", "S", "S", "S", "S"],
  "fractional_positions": [[0.2437, 0.7563, 0.7500], [0.7563, 0.2437, 0.2500], [0.5000, 0.5000, 0.0000], [0.5000, 0.5000, 0.5000], [0.0302, 0.9698, 0.2500], [0.9698, 0.0302, 0.7500], [0.1263, 0.8737, 0.0808], [0.1263, 0.8737, 0.4192], [0.4390, 0.5610, 0.2500], [0.5610, 0.4390, 0.7500], [0.8737, 0.1263, 0.5808], [0.8737, 0.1263, 0.9192]],
  "space_group": "Cmcm",
  "relative_energy_ev_per_atom": 0.009,
  "vol_a3_per_atom": 26.195
}

***

14.
{
  "formula": "LiGdTh",
  "functional": "GGA-PBE",
  "state": "relaxed",
  "lattice": [[0.0000, 3.5363, 3.5363], [3.5363, 0.0000, 3.5363], [3.5363, 3.5363, 0.0000]],
  "species": ["Li", "Gd", "Th"],
  "fractional_positions": [[0.0000, 0.0000, 0.0000], [0.7500, 0.7500, 0.7500], [0.2500, 0.2500, 0.2500]],
  "space_group": "F-43m",
  "vol_a3_per_atom": 29.481,
  "energy_ev_per_cell": -12.14
}

***

15.
{
  "formula": "TbMg2PdAu4",
  "functional": "GGA-PBE",
  "state": "relaxed",
  "lattice": [[4.7622, 0.0000, 0.0000], [0.0000, 4.7622, 0.0000], [0.0000, 0.0000, 6.7680]],
  "species": ["Tb", "Mg", "Mg", "Pd", "Au", "Au", "Au", "Au"],
  "fractional_positions": [[0.0000, 0.0000, 0.0000], [0.0000, 0.0000, 0.5000], [0.5000, 0.5000, 0.0000], [0.5000, 0.5000, 0.5000], [0.0000, 0.5000, 0.2632], [0.0000, 0.5000, 0.7368], [0.5000, 0.0000, 0.2632], [0.5000, 0.0000, 0.7368]],
  "space_group": "P4/mmm",
  "vol_a3_per_atom": 19.186,
  "energy_ev_per_cell": -30.57
}

***

16.
{
  "formula": "Ga2IrPb",
  "functional": "GGA-PBE",
  "state": "relaxed",
  "lattice": [[0.0000, 3.3687, 3.3687], [3.3687, 0.0000, 3.3687], [3.3687, 3.3687, 0.0000]],
  "species": ["Ga", "Ga", "Ir", "Pb"],
  "fractional_positions": [[0.0000, 0.0000, 0.0000], [0.2500, 0.2500, 0.2500], [0.7500, 0.7500, 0.7500], [0.5000, 0.5000, 0.5000]],
  "space_group": "F-43m",
  "vol_a3_per_atom": 19.114,
  "energy_ev_per_cell": -17.53
}

***

17.
{
  "formula": "BaHgTeO",
  "functional": "GGA-PBE",
  "state": "relaxed",
  "lattice": [[6.3073, 0.0000, 0.0000], [0.0000, 6.3073, 0.0000], [0.0000, 0.0000, 7.4923]],
  "species": ["Ba", "Ba", "Hg", "Hg", "Te", "Te", "O", "O"],
  "fractional_positions": [[0.2500, 0.7500, 0.0000], [0.7500, 0.2500, 0.0000], [0.2500, 0.2500, 0.2488], [0.7500, 0.7500, 0.7512], [0.2500, 0.2500, 0.7981], [0.7500, 0.7500, 0.2019], [0.2500, 0.2500, 0.5377], [0.7500, 0.7500, 0.4623]],
  "space_group": "P4/nmm",
  "relative_energy_ev_per_atom": 0.581,
  "vol_a3_per_atom": 37.258
}

***

18.
{
  "formula": "Pr3Sn3Pd2Pt",
  "functional": "GGA-PBE",
  "state": "relaxed",
  "lattice": [[7.6723, 0.0000, 0.0000], [-3.8361, 6.6444, 0.0000], [0.0000, 0.0000, 4.1792]],
  "species": ["Pr", "Pr", "Pr", "Sn", "Sn", "Sn", "Pd", "Pd", "Pt"],
  "fractional_positions": [[0.0000, 0.4110, 0.0000], [0.4110, 0.0000, 0.0000], [0.5890, 0.5890, 0.0000], [0.0000, 0.7487, 0.5000], [0.2513, 0.2513, 0.5000], [0.7487, 0.0000, 0.5000], [0.3333, 0.6667, 0.5000], [0.6667, 0.3333, 0.5000], [0.0000, 0.0000, 0.0000]],
  "space_group": "P-62m",
  "vol_a3_per_atom": 23.672,
  "energy_ev_per_cell": -51.25
}

***

19.
{
  "formula": "Er",
  "functional": "GGA-PBE",
  "state": "relaxed",
  "lattice": [[2.7958, -6.0961, 0.0000], [2.7958, 6.0961, 0.0000], [0.0000, 0.0000, 3.6278]],
  "species": ["Er", "Er", "Er", "Er"],
  "fractional_positions": [[0.1380, 0.8620, 0.9952], [0.3620, 0.6380, 0.4952], [0.6380, 0.3620, 0.5048], [0.8620, 0.1380, 0.0048]],
  "space_group": "Cmce",
  "relative_energy_ev_per_atom": 0.204,
  "e_form_ev_per_atom": 0.20,
  "vol_a3_per_atom": 30.916
}

***

20.
{
  "formula": "Li4TcO5",
  "functional": "GGA-PBE",
  "state": "relaxed",
  "lattice": [[-3.2662, 3.2662, 1.9992], [3.2662, -3.2662, 1.9992], [3.2662, 3.2662, -1.9992]],
  "species": ["Li", "Li", "Li", "Li", "Tc", "O", "O", "O", "O", "O"],
  "fractional_positions": [[0.0981, 0.3103, 0.4085], [0.3103, 0.9019, 0.2122], [0.6897, 0.0981, 0.7878], [0.9019, 0.6897, 0.5915], [0.5000, 0.5000, 0.0000], [0.0000, 0.0000, 0.0000], [0.2223, 0.5903, 0.8126], [0.4097, 0.2223, 0.6320], [0.5903, 0.7777, 0.3680], [0.7777, 0.4097, 0.1874]],
  "space_group": "I4/m",
  "vol_a3_per_atom": 8.531,
  "energy_ev_per_cell": -60.60
}